# HfSN2O (PBE, optimized geometry)
# - Raw total energy: -6.297 eV/atom
# - DOS at the Fermi energy: 1.242 states/eV per cell
data_HfSN2O
_symmetry_space_group_name_H-M 'P 1'
_symmetry_Int_Tables_number 1
_cell_length_a 3.851
_cell_length_b 3.851
_cell_length_c 3.589
_cell_angle_alpha 90.00
_cell_angle_beta 90.00
_cell_angle_gamma 90.00
loop_
_symmetry_equiv_pos_as_xyz
'x,y,z'
loop_
_atom_site_label
_atom_site_fract_x
_atom_site_fract_y
_atom_site_fract_z
O1 0.000 0.000 0.000
N1 0.500 0.000 0.000
Hf1 0.500 0.500 0.500
S1 0.000 0.000 0.500
N2 0.000 0.500 0.000